(1)
! PBE-GGA Y2TlPb9, relaxed; values from VASP
! * density: 10.38 g/cm3
! * calculated total energy: -4.246 eV per atom
! * crystal system: tetragonal
&SYSTEM
  ibrav = 0, nat = 12, ntyp = 3
/
ATOMIC_SPECIES
Y 88.91 Y.upf
Tl 204.38 Tl.upf
Pb 207.20 Pb.upf
CELL_PARAMETERS angstrom
4.8223 0.0000 0.0000
0.0000 4.8223 0.0000
0.0000 0.0000 15.4615
ATOMIC_POSITIONS crystal
Y 0.0000 0.0000 0.1513
Y 0.0000 0.0000 0.8487
Tl 0.0000 0.0000 0.5000
Pb 0.0000 0.5000 0.0000
Pb 0.0000 0.5000 0.3278
Pb 0.0000 0.5000 0.6722
Pb 0.5000 0.0000 0.0000
Pb 0.5000 0.0000 0.3278
Pb 0.5000 0.0000 0.6722
Pb 0.5000 0.5000 0.1676
Pb 0.5000 0.5000 0.5000
Pb 0.5000 0.5000 0.8324

(2)
! PBE-GGA Tb3Pr4NdSe8, relaxed; values from VASP
! * density: 7.20 g/cm3
! * calculated total energy: -5.917 eV per atom
! * crystal system: trigonal
! * ΔE_f (raw): -1.81 eV/atom
&SYSTEM
  ibrav = 0, nat = 16, ntyp = 4
/
ATOMIC_SPECIES
Tb 158.93 Tb.upf
Pr 140.91 Pr.upf
Nd 144.24 Nd.upf
Se 78.96 Se.upf
CELL_PARAMETERS angstrom
4.1707 2.4079 6.9545
-4.1707 2.4079 6.9545
0.0000 -4.8159 6.9545
ATOMIC_POSITIONS crystal
Tb 0.0000 0.5000 0.5000
Tb 0.5000 0.0000 0.5000
Tb 0.5000 0.5000 0.0000
Pr 0.0000 0.0000 0.5000
Pr 0.0000 0.5000 0.0000
Pr 0.5000 0.0000 0.0000
Pr 0.5000 0.5000 0.5000
Nd 0.0000 0.0000 0.0000
Se 0.2489 0.2489 0.7402
Se 0.2489 0.7402 0.2489
Se 0.2554 0.2554 0.2554
Se 0.2598 0.7511 0.7511
Se 0.7402 0.2489 0.2489
Se 0.7446 0.7446 0.7446
Se 0.7511 0.2598 0.7511
Se 0.7511 0.7511 0.2598

(3)
! PBE-GGA AcSi2Ag2, relaxed; values from VASP
! * density: 7.87 g/cm3
! * calculated total energy: -4.544 eV per atom
! * crystal system: tetragonal
! * ΔE_f (raw): -0.41 eV/atom
&SYSTEM
  ibrav = 0, nat = 5, ntyp = 3
/
ATOMIC_SPECIES
Ac 227.00 Ac.upf
Si 28.09 Si.upf
Ag 107.87 Ag.upf
CELL_PARAMETERS angstrom
-2.2238 2.2238 5.3191
2.2238 -2.2238 5.3191
2.2238 2.2238 -5.3191
ATOMIC_POSITIONS crystal
Ac 0.0000 0.0000 0.0000
Si 0.3877 0.3877 0.0000
Si 0.6123 0.6123 0.0000
Ag 0.2500 0.7500 0.5000
Ag 0.7500 0.2500 0.5000

(4)
! PBE-GGA DyAgPd4, relaxed; values from VASP
! * polymorph energy (0 for the lowest one): 0.0 meV/atom
! * density: 10.73 g/cm3
! * calculated total energy: -5.234 eV per atom
! * crystal system: cubic
&SYSTEM
  ibrav = 0, nat = 6, ntyp = 3
/
ATOMIC_SPECIES
Dy 162.50 Dy.upf
Ag 107.87 Ag.upf
Pd 106.42 Pd.upf
CELL_PARAMETERS angstrom
0.0000 3.7759 3.7759
3.7759 0.0000 3.7759
3.7759 3.7759 0.0000
ATOMIC_POSITIONS crystal
Dy 0.0000 0.0000 0.0000
Ag 0.7500 0.7500 0.7500
Pd 0.3752 0.3752 0.3752
Pd 0.3752 0.3752 0.8745
Pd 0.3752 0.8745 0.3752
Pd 0.8745 0.3752 0.3752